[1]
Compound: Rb2FeBiBr6
Source: Alexandria
Functional: PBE-GGA
Structure: relaxed

Geometry as POSCAR:
```
Rb2FeBiBr6
1.0
-3.941 3.941 5.609
3.941 -3.941 5.609
3.941 3.941 -5.609
Rb Fe Bi Br
2 1 1 6
direct
0.250 0.750 0.500 Rb
0.750 0.250 0.500 Rb
0.000 0.000 0.000 Fe
0.500 0.500 0.000 Bi
0.234 0.234 0.000 Br
0.238 0.238 0.475 Br
0.238 0.762 0.000 Br
0.762 0.238 0.000 Br
0.762 0.762 0.525 Br
0.766 0.766 0.000 Br
```

Output
SG	I4/mmm, No. 139
electronic total energy	-3.363	eV/atom

***

[2]
Compound: FeBiSe2Br
Source: Alexandria
Functional: PBE-GGA
Structure: relaxed

Geometry as POSCAR:
```
FeBiSe2Br
1.0
4.780 0.000 0.000
0.000 4.780 0.000
0.000 0.000 4.849
Fe Bi Se Br
1 1 2 1
direct
0.000 0.000 0.000 Fe
0.500 0.500 0.500 Bi
0.000 0.500 0.000 Se
0.500 0.000 0.000 Se
0.000 0.000 0.500 Br
```

Output
SG	P4/mmm, No. 123
E above lowest polymorph	0	meV per atom
electronic total energy	-4.025	eV/atom

***

[3]
Compound: GaBiBr6
Source: Alexandria
Functional: PBE-GGA
Structure: relaxed

Geometry as POSCAR:
```
GaBiBr6
1.0
3.409 -6.513 0.000
3.409 6.513 0.000
-2.091 0.000 6.475
Ga Bi Br
1 1 6
direct
0.000 0.000 0.000 Ga
0.500 0.500 0.500 Bi
0.076 0.361 0.221 Br
0.243 0.243 0.760 Br
0.361 0.076 0.221 Br
0.639 0.924 0.779 Br
0.757 0.757 0.240 Br
0.924 0.639 0.779 Br
```

Output
SG	C2/m, No. 12
electronic total energy	-2.766	eV/atom

***

[4]
Compound: Ga2BiBr
Source: Alexandria
Functional: PBE-GGA
Structure: relaxed

Geometry as POSCAR:
```
Ga2BiBr
1.0
2.242 1.294 8.132
-2.242 1.294 8.132
0.000 -2.589 8.132
Ga Bi Br
2 1 1
direct
0.000 0.000 0.000 Ga
0.197 0.197 0.197 Ga
0.631 0.631 0.631 Bi
0.806 0.806 0.806 Br
```

Output
SG	R3m, No. 160
E above lowest polymorph	0	meV per atom
electronic total energy	-2.996	eV/atom

***

[5]
Compound: Ga6BiBr12
Source: Alexandria
Functional: PBE-GGA
Structure: relaxed

Geometry as POSCAR:
```
Ga6BiBr12
1.0
10.059 5.808 2.124
-10.059 5.808 2.124
0.000 -11.615 2.124
Ga Bi Br
6 1 12
direct
0.099 0.341 0.289 Ga
0.289 0.100 0.341 Ga
0.341 0.289 0.100 Ga
0.659 0.711 0.900 Ga
0.711 0.900 0.659 Ga
0.900 0.659 0.711 Ga
0.000 0.000 0.000 Bi
0.092 0.769 0.186 Br
0.186 0.092 0.769 Br
0.231 0.814 0.908 Br
0.301 0.546 0.657 Br
0.343 0.699 0.454 Br
0.454 0.343 0.699 Br
0.546 0.657 0.301 Br
0.657 0.301 0.546 Br
0.699 0.454 0.343 Br
0.769 0.186 0.092 Br
0.814 0.908 0.231 Br
0.908 0.231 0.814 Br
```

Output
SG	R-3, No. 148
electronic total energy	-2.762	eV/atom

***

[6]
Compound: Ga3Bi3Br
Source: Alexandria
Functional: PBE-GGA
Structure: relaxed

Geometry as POSCAR:
```
Ga3Bi3Br
1.0
7.843 0.000 0.000
0.000 7.843 0.000
0.000 0.000 7.843
Ga Bi Br
6 6 2
direct
0.000 0.250 0.500 Ga
0.000 0.750 0.500 Ga
0.250 0.500 0.000 Ga
0.500 0.000 0.250 Ga
0.500 0.000 0.750 Ga
0.750 0.500 0.000 Ga
0.000 0.500 0.250 Bi
0.000 0.500 0.750 Bi
0.250 0.000 0.500 Bi
0.500 0.250 0.000 Bi
0.500 0.750 0.000 Bi
0.750 0.000 0.500 Bi
0.000 0.000 0.000 Br
0.500 0.500 0.500 Br
```

Output
SG	Pm-3n, No. 223
electronic total energy	-3.150	eV/atom

***

[7]
Compound: Ga3BiBr
Source: Alexandria
Functional: PBE-GGA
Structure: relaxed

Geometry as POSCAR:
```
Ga3BiBr
1.0
5.466 0.000 0.000
0.000 5.466 0.000
0.000 0.000 5.466
Ga Bi Br
3 1 1
direct
0.000 0.000 0.500 Ga
0.000 0.500 0.000 Ga
0.500 0.000 0.000 Ga
0.500 0.500 0.500 Bi
0.000 0.000 0.000 Br
```

Output
SG	Pm-3m, No. 221
E above lowest polymorph	36	meV per atom
electronic total energy	-2.567	eV/atom

***

[8]
Compound: GaBi2Br
Source: Alexandria
Functional: PBE-GGA
Structure: relaxed

Geometry as POSCAR:
```
GaBi2Br
1.0
0.000 3.770 3.770
3.770 0.000 3.770
3.770 3.770 0.000
Ga Bi Br
1 2 1
direct
0.000 0.000 0.000 Ga
0.250 0.250 0.250 Bi
0.750 0.750 0.750 Bi
0.500 0.500 0.500 Br
```

Output
SG	Fm-3m, No. 225
E above lowest polymorph	128	meV per atom
electronic total energy	-3.040	eV/atom

***

no.,uncorrected formation energy (eV/f.u.)
1,-9.31
2,0.86
3,-5.18
4,-0.38
5,-10.36
6,0.35
7,1.80
8,0.30